1.
VASP calculation (PBE) on an optimized crystal structure of LiZn3Rh.

abc: 4.7990 4.7990 4.7990
angles: 90.00 90.00 90.00
Last column: nearest neighbours and their distance in Å.
Element x y z (fractional)
Li  0.0000  0.0000  0.0000  12 Zn 3.39
Zn  0.0000  0.5000  0.5000  2 Rh 2.40
Zn  0.5000  0.0000  0.5000  2 Rh 2.40
Zn  0.5000  0.5000  0.0000  2 Rh 2.40
Rh  0.5000  0.5000  0.5000  6 Zn 2.40

Crystal system = cubic
E = -13.2 eV per cell
DFT formation energy = -0.01 eV per atom
SG = Pm-3m (221)
Fermi-level density of states = 1.4 states/eV/f.u.
E above lowest polymorph = 313 meV per atom


2.
VASP calculation (PBE) on an optimized crystal structure of TbThHgGe.

abc: 5.2560 5.2560 5.2560
angles: 60.00 60.00 60.00
Last column: nearest neighbours and their distance in Å.
Element x y z (fractional)
Tb  0.0000  0.0000  0.0000  4 Ge 3.22, 4 Hg 3.22
Th  0.5000  0.5000  0.5000  4 Ge 3.22, 4 Hg 3.22
Hg  0.2500  0.2500  0.2500  4 Tb 3.22, 4 Th 3.22
Ge  0.7500  0.7500  0.7500  4 Tb 3.22, 4 Th 3.22

Crystal system = cubic
E = -18.7 eV per cell
DFT formation energy = -0.44 eV per atom
SG = F-43m (216)
Fermi-level density of states = 3.2 states/eV/f.u.


3.
VASP calculation (PBE) on an optimized crystal structure of ScNi4Ru.

abc: 4.7791 4.7791 4.7791
angles: 60.00 60.00 60.00
Last column: nearest neighbours and their distance in Å.
Element x y z (fractional)
Sc  0.0000  0.0000  0.0000  12 Ni 2.80, 4 Ru 2.93
Ni  0.3753  0.3753  0.3753  6 Ni 2.38-2.40
Ni  0.3753  0.3753  0.8740  6 Ni 2.38-2.40
Ni  0.3753  0.8740  0.3753  6 Ni 2.38-2.40
Ni  0.8740  0.3753  0.3753  6 Ni 2.38-2.40
Ru  0.7500  0.7500  0.7500  12 Ni 2.80, 4 Sc 2.93

Crystal system = cubic
E = -39.9 eV per cell
DFT formation energy = -0.19 eV per atom
SG = F-43m (216)
Fermi-level density of states = 7.7 states/eV/f.u.


4.
VASP calculation (PBE) on an optimized crystal structure of ErU2PdS6.

abc: 5.9368 5.9368 6.7368
angles: 90.00 90.00 90.00
Last column: nearest neighbours and their distance in Å.
Element x y z (fractional)
Er  0.0000  0.0000  0.0000  5 S 2.57-2.64
U  0.0000  0.5000  0.4531  4 S 2.70
U  0.5000  0.0000  0.4531  4 S 2.70
Pd  0.5000  0.5000  0.9647  5 S 2.38-2.58
S  0.0000  0.0000  0.6084  1 Er 2.64
S  0.2591  0.2591  0.2019  1 Er 2.57, 1 Pd 2.58, 2 U 2.70, 2 S 2.86
S  0.2591  0.7409  0.2019  1 Er 2.57, 1 Pd 2.58, 2 U 2.70, 2 S 2.86
S  0.5000  0.5000  0.6120  1 Pd 2.38
S  0.7409  0.2591  0.2019  1 Er 2.57, 1 Pd 2.58, 2 U 2.70, 2 S 2.86
S  0.7409  0.7409  0.2019  1 Er 2.57, 1 Pd 2.58, 2 U 2.70, 2 S 2.86

Crystal system = tetragonal
E = -66.6 eV per cell
SG = P4mm (99)
Fermi-level density of states = 13.9 states/eV/f.u.
Formation energy without anion corrections = -9.48 eV/f.u.


5.
VASP calculation (PBE) on an optimized crystal structure of VAsI.

abc: 6.2524 3.5866 6.5397
angles: 90.00 92.21 90.00
Last column: nearest neighbours and their distance in Å.
Element x y z (fractional)
V  0.0000  0.0000  0.0000  3 As 2.46-2.52, 2 I 2.75
V  0.3838  0.5000  0.0227  3 As 2.43-2.60, 1 I 2.71
As  0.2991  0.0000  0.2558  3 V 2.43-2.46
As  0.7784  0.5000  0.1617  3 V 2.52-2.60
I  0.0992  0.5000  0.6997  3 V 2.71-2.75
I  0.6020  0.0000  0.7684  3 V 2.83-2.86

Crystal system = monoclinic
E = -31.1 eV per cell
SG = Pm (6)
Fermi-level density of states = 1.9 states/eV/f.u.
Formation energy without anion corrections = -0.22 eV/f.u.
E above lowest polymorph = 112 meV per atom


6.
VASP calculation (PBE) on an optimized crystal structure of Sr3IrRu.

abc: 5.6727 5.6727 5.6727
angles: 90.00 90.00 90.00
Last column: nearest neighbours and their distance in Å.
Element x y z (fractional)
Sr  0.0000  0.0000  0.5000  2 Ir 2.84
Sr  0.0000  0.5000  0.0000  2 Ir 2.84
Sr  0.5000  0.0000  0.0000  2 Ir 2.84
Ir  0.0000  0.0000  0.0000  6 Sr 2.84
Ru  0.5000  0.5000  0.5000  12 Sr 4.01

Crystal system = cubic
E = -19.8 eV per cell
DFT formation energy = 0.68 eV per atom
SG = Pm-3m (221)
Fermi-level density of states = 8.8 states/eV/f.u.
E above lowest polymorph = 0 meV per atom